1.
Compound: Ta2CdIr
Source: the Alexandria database
Functional: GGA-PBEsol
Structure: relaxed

Lattice parameters (Å, degrees): 2.914 2.914 8.150 90.00 90.00 90.00
Fractional coordinates of all 4 atoms:
Ta1 0.000 0.000 0.000
Ta2 0.500 0.500 0.270
Cd1 0.000 0.000 0.544
Ir1 0.500 0.500 0.793

Results
- DFT formation energy (eV per atom) = -0.06



2.
Compound: Ba4Pr2Cu6O13
Source: the Alexandria database
Functional: GGA-PBEsol
Structure: relaxed

Lattice parameters (Å, degrees): 12.422 12.403 5.496 77.40 77.02 25.58
Fractional coordinates of all 25 atoms:
Ba1 0.148 0.664 0.852
Ba2 0.336 0.852 0.664
Ba3 0.664 0.148 0.336
Ba4 0.852 0.336 0.148
Pr1 0.000 0.500 0.000
Pr2 0.500 0.000 0.500
Cu1 0.076 0.572 0.428
Cu2 0.240 0.760 0.240
Cu3 0.428 0.924 0.076
Cu4 0.572 0.076 0.924
Cu5 0.760 0.240 0.760
Cu6 0.924 0.428 0.572
O1 0.000 0.000 0.000
O2 0.183 0.183 0.817
O3 0.185 0.185 0.315
O4 0.195 0.653 0.347
O5 0.315 0.315 0.185
O6 0.315 0.315 0.685
O7 0.347 0.805 0.195
O8 0.653 0.195 0.805
O9 0.685 0.685 0.315
O10 0.685 0.685 0.815
O11 0.805 0.347 0.653
O12 0.815 0.815 0.685
O13 0.817 0.817 0.183

Results
- uncorrected energy (eV/f.u.) = -159.16



3.
Compound: Be2SiAu
Source: the Alexandria database
Functional: GGA-PBEsol
Structure: relaxed

Lattice parameters (Å, degrees): 2.971 4.055 4.571 90.00 108.76 90.00
Fractional coordinates of all 4 atoms:
Be1 0.000 0.000 0.000
Be2 0.137 0.500 0.274
Si1 0.437 0.500 0.869
Au1 0.276 0.000 0.545

Results
- uncorrected energy (eV/f.u.) = -17.49



4.
Compound: FeReB2
Source: the Alexandria database
Functional: GGA-PBEsol
Structure: relaxed

Lattice parameters (Å, degrees): 3.700 3.700 3.700 60.00 60.00 60.00
Fractional coordinates of all 4 atoms:
Fe1 0.000 0.000 0.000
Re1 0.500 0.500 0.500
B1 0.250 0.250 0.250
B2 0.750 0.750 0.750

Results
- DFT formation energy (eV per atom) = 0.14



5.
Compound: MgFeCu2Tc
Source: the Alexandria database
Functional: GGA-PBEsol
Structure: relaxed

Lattice parameters (Å, degrees): 4.429 4.429 4.161 90.00 90.00 90.00
Fractional coordinates of all 5 atoms:
Mg1 0.000 0.000 0.000
Fe1 0.500 0.500 0.500
Cu1 0.000 0.500 0.500
Cu2 0.500 0.000 0.500
Tc1 0.500 0.500 0.000

Results
- DFT formation energy (eV per atom) = 0.89



6.
Compound: Cu2PHO5
Source: the Alexandria database
Functional: GGA-PBEsol
Structure: relaxed

Lattice parameters (Å, degrees): 7.992 8.325 5.901 90.00 90.00 90.00
Fractional coordinates of all 36 atoms:
Cu1 0.000 0.000 0.249
Cu2 0.000 0.000 0.751
Cu3 0.138 0.368 0.000
Cu4 0.362 0.868 0.500
Cu5 0.500 0.500 0.251
Cu6 0.500 0.500 0.749
Cu7 0.638 0.132 0.500
Cu8 0.862 0.632 0.000
P1 0.236 0.754 0.000
P2 0.264 0.254 0.500
P3 0.736 0.746 0.500
P4 0.764 0.246 0.000
H1 0.071 0.789 0.500
H2 0.429 0.289 0.000
H3 0.571 0.711 0.000
H4 0.929 0.211 0.500
O1 0.103 0.618 0.000
O2 0.125 0.897 0.500
O3 0.141 0.919 0.000
O4 0.151 0.241 0.289
O5 0.151 0.241 0.711
O6 0.349 0.741 0.211
O7 0.349 0.741 0.789
O8 0.359 0.419 0.500
O9 0.375 0.397 0.000
O10 0.397 0.118 0.500
O11 0.603 0.882 0.500
O12 0.625 0.603 0.000
O13 0.641 0.581 0.500
O14 0.651 0.259 0.211
O15 0.651 0.259 0.789
O16 0.849 0.759 0.289
O17 0.849 0.759 0.711
O18 0.859 0.081 0.000
O19 0.875 0.103 0.500
O20 0.897 0.382 0.000

Results
- uncorrected energy (eV/f.u.) = -55.48



7.
Compound: LiTaNbCd2
Source: the Alexandria database
Functional: GGA-PBEsol
Structure: relaxed

Lattice parameters (Å, degrees): 4.299 4.299 4.681 90.00 90.00 90.00
Fractional coordinates of all 5 atoms:
Li1 0.000 0.000 0.000
Ta1 0.500 0.500 0.500
Nb1 0.000 0.000 0.500
Cd1 0.000 0.500 0.000
Cd2 0.500 0.000 0.000

Results
- DFT formation energy (eV per atom) = 0.82



8.
Compound: Ni2PPt
Source: the Alexandria database
Functional: GGA-PBEsol
Structure: relaxed

Lattice parameters (Å, degrees): 7.686 7.686 7.686 20.61 20.61 20.61
Fractional coordinates of all 4 atoms:
Ni1 0.000 0.000 0.000
Ni2 0.248 0.248 0.248
P1 0.513 0.513 0.513
Pt1 0.759 0.759 0.759

Results
- DFT formation energy (eV per atom) = -0.05



9.
Compound: Cd2BSb
Source: the Alexandria database
Functional: GGA-PBEsol
Structure: relaxed

Lattice parameters (Å, degrees): 4.845 4.845 4.845 60.00 60.00 60.00
Fractional coordinates of all 4 atoms:
Cd1 0.250 0.250 0.250
Cd2 0.750 0.750 0.750
B1 0.000 0.000 0.000
Sb1 0.500 0.500 0.500

Results
- relative energy among the computed polymorphs (eV/atom) = 0.302



10.
Compound: CsMn3S
Source: the Alexandria database
Functional: GGA-PBEsol
Structure: relaxed

Lattice parameters (Å, degrees): 4.571 4.571 4.571 90.00 90.00 90.00
Fractional coordinates of all 5 atoms:
Cs1 0.000 0.000 0.000
Mn1 0.000 0.500 0.500
Mn2 0.500 0.000 0.500
Mn3 0.500 0.500 0.000
S1 0.500 0.500 0.500

Results
- uncorrected energy (eV/f.u.) = -30.72



11.
Compound: LiHCO2
Source: the Alexandria database
Functional: GGA-PBEsol
Structure: relaxed

Lattice parameters (Å, degrees): 8.498 8.498 13.515 97.29 97.29 90.35
Fractional coordinates of all 80 atoms:
Li1 0.060 0.105 0.158
Li2 0.105 0.060 0.658
Li3 0.168 0.827 0.991
Li4 0.173 0.832 0.509
Li5 0.274 0.392 0.252
Li6 0.392 0.274 0.752
Li7 0.395 0.590 0.088
Li8 0.410 0.605 0.412
Li9 0.590 0.395 0.588
Li10 0.605 0.410 0.912
Li11 0.608 0.726 0.248
Li12 0.726 0.608 0.748
Li13 0.827 0.168 0.491
Li14 0.832 0.173 0.009
Li15 0.895 0.940 0.342
Li16 0.940 0.895 0.842
H1 0.016 0.661 0.236
H2 0.113 0.350 0.422
H3 0.126 0.407 0.972
H4 0.227 0.624 0.812
H5 0.339 0.984 0.264
H6 0.350 0.113 0.922
H7 0.376 0.773 0.688
H8 0.407 0.126 0.472
H9 0.593 0.874 0.528
H10 0.624 0.227 0.312
H11 0.650 0.887 0.078
H12 0.661 0.016 0.736
H13 0.773 0.376 0.188
H14 0.874 0.593 0.028
H15 0.887 0.650 0.578
H16 0.984 0.339 0.764
C1 0.070 0.247 0.364
C2 0.098 0.683 0.309
C3 0.142 0.359 0.046
C4 0.247 0.070 0.864
C5 0.311 0.582 0.873
C6 0.317 0.902 0.191
C7 0.359 0.142 0.546
C8 0.418 0.689 0.627
C9 0.582 0.311 0.373
C10 0.641 0.858 0.454
C11 0.683 0.098 0.809
C12 0.689 0.418 0.127
C13 0.753 0.930 0.136
C14 0.858 0.641 0.954
C15 0.902 0.317 0.691
C16 0.930 0.753 0.636
O1 0.037 0.842 0.615
O2 0.046 0.252 0.058
O3 0.066 0.798 0.371
O4 0.133 0.231 0.284
O5 0.158 0.963 0.885
O6 0.202 0.934 0.129
O7 0.214 0.592 0.320
O8 0.231 0.133 0.784
O9 0.252 0.046 0.558
O10 0.257 0.417 0.109
O11 0.313 0.657 0.960
O12 0.343 0.687 0.540
O13 0.395 0.464 0.850
O14 0.408 0.786 0.180
O15 0.417 0.257 0.609
O16 0.464 0.395 0.350
O17 0.536 0.605 0.650
O18 0.583 0.743 0.391
O19 0.592 0.214 0.820
O20 0.605 0.536 0.150
O21 0.657 0.313 0.460
O22 0.687 0.343 0.040
O23 0.743 0.583 0.891
O24 0.748 0.954 0.442
O25 0.769 0.867 0.216
O26 0.786 0.408 0.680
O27 0.798 0.066 0.871
O28 0.842 0.037 0.115
O29 0.867 0.769 0.716
O30 0.934 0.202 0.629
O31 0.954 0.748 0.942
O32 0.963 0.158 0.385

Results
- uncorrected energy (eV/f.u.) = -32.07



12.
Compound: KSr3
Source: the Alexandria database
Functional: GGA-PBEsol
Structure: relaxed

Lattice parameters (Å, degrees): 7.383 7.383 7.479 98.35 98.35 33.01
Fractional coordinates of all 4 atoms:
K1 0.000 0.000 0.000
Sr1 0.248 0.248 0.743
Sr2 0.500 0.500 0.500
Sr3 0.752 0.752 0.257

Results
- relative energy among the computed polymorphs (eV/atom) = 0.033
- DFT formation energy (eV per atom) = 0.08